# 1
YSn2: single point on PBEsol structure, meta-GGA SCAN.

Results
Calculated formation energy, meV/atom: -704
Final energy, eV per cell: -203.59
Theoretical density, Mg/m³: 7.187
DOS at the Fermi energy, states/eV/cell: 2.6

a = 4.291 Å, b = 4.367 Å, c = 8.338 Å
α = 74.82°, β = 90.00°, γ = 90.00°
Positions (direct):
Sn1 0.250 0.436 0.128
Sn2 0.750 0.251 0.497
Sn3 0.250 0.749 0.503
Sn4 0.750 0.564 0.872
Y1 0.750 0.901 0.197
Y2 0.250 0.099 0.803

# 2
YZnSn2: single point on PBEsol structure, meta-GGA SCAN.

Results
Calculated formation energy, meV/atom: -540
Final energy, eV per cell: -230.72
Theoretical density, Mg/m³: 7.302
DOS at the Fermi energy, states/eV/cell: 3.4

a = 4.293 Å, b = 4.293 Å, c = 9.666 Å
α = 90.00°, β = 90.00°, γ = 90.00°
Positions (direct):
Y1 0.000 0.500 0.748
Y2 0.500 0.000 0.252
Sn1 0.000 0.500 0.316
Sn2 0.000 0.000 0.000
Sn3 0.500 0.500 0.000
Sn4 0.500 0.000 0.684
Zn1 0.500 0.500 0.500
Zn2 0.000 0.000 0.500

# 3
YZn3Sn: single point on PBEsol structure, meta-GGA SCAN.

Results
Calculated formation energy, meV/atom: 968
Final energy, eV per cell: -99.47
Theoretical density, Mg/m³: 4.603
DOS at the Fermi energy, states/eV/cell: 4.4

a = 5.262 Å, b = 5.262 Å, c = 5.262 Å
α = 90.00°, β = 90.00°, γ = 90.00°
Positions (direct):
Zn1 0.000 0.500 0.000
Zn2 0.500 0.000 0.000
Zn3 0.000 0.000 0.500
Y1 0.000 0.000 0.000
Sn1 0.500 0.500 0.500

# 4
YZnSn3: single point on PBEsol structure, meta-GGA SCAN.

Results
Calculated formation energy, meV/atom: 127
Final energy, eV per cell: -148.49
Theoretical density, Mg/m³: 6.309
DOS at the Fermi energy, states/eV/cell: 2.6

a = 5.122 Å, b = 5.122 Å, c = 5.122 Å
α = 90.00°, β = 90.00°, γ = 90.00°
Positions (direct):
Sn1 0.000 0.500 0.000
Sn2 0.500 0.000 0.000
Sn3 0.000 0.000 0.500
Y1 0.500 0.500 0.500
Zn1 0.000 0.000 0.000

# 5
YZn2Sn2: single point on PBEsol structure, meta-GGA SCAN.

Results
Calculated formation energy, meV/atom: -260
Final energy, eV per cell: -128.01
Theoretical density, Mg/m³: 6.903
DOS at the Fermi energy, states/eV/cell: 1.3

a = 4.101 Å, b = 4.101 Å, c = 7.154 Å
α = 106.66°, β = 106.66°, γ = 90.00°
Positions (direct):
Sn1 0.387 0.387 0.774
Sn2 0.613 0.613 0.226
Y1 0.000 0.000 0.000
Zn1 0.250 0.750 0.500
Zn2 0.750 0.250 0.500

# 6
Y3ZnSn: single point on PBEsol structure, meta-GGA SCAN.

Results
Calculated formation energy, meV/atom: -221
Final energy, eV per cell: -134.07
Theoretical density, Mg/m³: 5.161
DOS at the Fermi energy, states/eV/cell: 4.9

a = 5.254 Å, b = 5.254 Å, c = 5.254 Å
α = 90.00°, β = 90.00°, γ = 90.00°
Positions (direct):
Y1 0.500 0.000 0.000
Y2 0.000 0.000 0.500
Y3 0.000 0.500 0.000
Zn1 0.000 0.000 0.000
Sn1 0.500 0.500 0.500

# 7
YZr3Sn: single point on PBEsol structure, meta-GGA SCAN.

Results
Calculated formation energy, meV/atom: 537
Final energy, eV per cell: -153.17
Theoretical density, Mg/m³: 5.380
DOS at the Fermi energy, states/eV/cell: 9.2

a = 5.296 Å, b = 5.296 Å, c = 5.296 Å
α = 90.00°, β = 90.00°, γ = 90.00°
Site moments in Bohr magnetons follow the coordinates.
Positions (direct):
Zr1 0.500 0.000 0.000  0.16
Zr2 0.000 0.000 0.500  0.16
Zr3 0.000 0.500 0.000  0.16
Y1 0.500 0.500 0.500  0.21
Sn1 0.000 0.000 0.000  0.01

# 8
Zr3Sn: single point on PBEsol structure, meta-GGA SCAN.

Results
Calculated formation energy, meV/atom: -419
Final energy, eV per cell: -259.38
Theoretical density, Mg/m³: 7.606
DOS at the Fermi energy, states/eV/cell: 5.7

a = 5.120 Å, b = 6.216 Å, c = 6.216 Å
α = 120.00°, β = 90.00°, γ = 90.00°
Positions (direct):
Zr1 0.250 0.832 0.664
Zr2 0.250 0.336 0.168
Zr3 0.750 0.168 0.336
Zr4 0.750 0.664 0.832
Zr5 0.750 0.168 0.832
Zr6 0.250 0.832 0.168
Sn1 0.250 0.333 0.667
Sn2 0.750 0.667 0.333

# 9
Zr3Sn: single point on PBEsol structure, meta-GGA SCAN.

Results
Calculated formation energy, meV/atom: -406
Final energy, eV per cell: -259.28
Theoretical density, Mg/m³: 7.555
DOS at the Fermi energy, states/eV/cell: 6.0

a = 5.080 Å, b = 5.639 Å, c = 6.021 Å
α = 90.00°, β = 90.00°, γ = 90.00°
Positions (direct):
Zr1 0.500 0.865 0.000
Zr2 0.000 0.135 0.500
Zr3 0.000 0.648 0.250
Zr4 0.500 0.352 0.750
Zr5 0.500 0.352 0.250
Zr6 0.000 0.648 0.750
Sn1 0.000 0.164 0.000
Sn2 0.500 0.836 0.500

# 10
Zr3Sn: single point on PBEsol structure, meta-GGA SCAN.

Results
Calculated formation energy, meV/atom: -401
Final energy, eV per cell: -129.62
Theoretical density, Mg/m³: 7.528
DOS at the Fermi energy, states/eV/cell: 3.4

a = 4.297 Å, b = 4.297 Å, c = 5.586 Å
α = 112.62°, β = 112.62°, γ = 90.00°
Positions (direct):
Zr1 0.250 0.750 0.500
Zr2 0.500 0.500 0.000
Zr3 0.750 0.250 0.500
Sn1 0.000 0.000 0.000

# 11
Zr3Sn: single point on PBEsol structure, meta-GGA SCAN.

Results
Calculated formation energy, meV/atom: -434
Final energy, eV per cell: -259.51
Theoretical density, Mg/m³: 7.589
DOS at the Fermi energy, states/eV/cell: 10.9

a = 5.558 Å, b = 5.558 Å, c = 5.558 Å
α = 90.00°, β = 90.00°, γ = 90.00°
Positions (direct):
Zr1 0.250 0.000 0.500
Zr2 0.000 0.500 0.250
Zr3 0.750 0.000 0.500
Zr4 0.500 0.250 0.000
Zr5 0.500 0.750 0.000
Zr6 0.000 0.500 0.750
Sn1 0.000 0.000 0.000
Sn2 0.500 0.500 0.500

# 12
Zr5Sn: single point on PBEsol structure, meta-GGA SCAN.

Results
Calculated formation energy, meV/atom: -214
Final energy, eV per cell: -190.70
Theoretical density, Mg/m³: 7.255
DOS at the Fermi energy, states/eV/cell: 6.1

a = 5.084 Å, b = 5.466 Å, c = 5.466 Å
α = 120.00°, β = 90.00°, γ = 90.00°
Positions (direct):
Zr1 0.500 0.322 0.000
Zr2 0.500 0.678 0.678
Zr3 0.500 0.000 0.322
Zr4 0.000 0.667 0.333
Zr5 0.000 0.333 0.667
Sn1 0.000 0.000 0.000